No. 1
# PBE-GGA Ac3Ga8Pb3, relaxed
# Raw total energy: -106.4 eV/cell
# Formation enthalpy at 0 K: -0.3950 eV per atom
# Magnetization: 0.00 μB/f.u.
data_Ac3Ga8Pb3
_symmetry_space_group_name_H-M 'I m m m'
_symmetry_Int_Tables_number 71
_symmetry_space_group_name_Hall '-I 2 2'
_cell_length_a 4.588
_cell_length_b 10.173
_cell_length_c 15.266
_cell_angle_alpha 90.00
_cell_angle_beta 90.00
_cell_angle_gamma 90.00
loop_
_atom_site_label
_atom_site_type_symbol
_atom_site_fract_x
_atom_site_fract_y
_atom_site_fract_z
_atom_site_occupancy
Ac1 Ac 0.000 0.000 0.000 1
Ac2 Ac 0.000 0.000 0.312 1
Ga1 Ga 0.000 0.262 0.157 1
Ga2 Ga 0.000 0.370 0.323 1
Pb1 Pb 0.000 0.238 0.500 1
Pb2 Pb 0.000 0.500 0.000 1

No. 2
# PBE-GGA Ac2GaPb, relaxed
# Raw total energy: -34.1 eV/cell
# Formation enthalpy at 0 K: -0.5306 eV per atom
# Magnetization: 0.26 μB/f.u.
data_Ac2GaPb
_symmetry_space_group_name_H-M 'P 1 21/m 1'
_symmetry_Int_Tables_number 11
_cell_length_a 6.667
_cell_length_b 4.511
_cell_length_c 9.616
_cell_angle_alpha 90.00
_cell_angle_beta 108.10
_cell_angle_gamma 90.00
loop_
_symmetry_equiv_pos_as_xyz
'x,y,z'
'-x,-y,-z'
'-x,y+1/2,-z'
'x,-y+1/2,z'
loop_
_atom_site_label
_atom_site_type_symbol
_atom_site_fract_x
_atom_site_fract_y
_atom_site_fract_z
_atom_site_occupancy
Ac1 Ac 0.198 0.250 0.422 1
Ac2 Ac 0.276 0.750 0.062 1
Ga1 Ga 0.135 0.250 0.789 1
Pb1 Pb 0.368 0.750 0.712 1

No. 3
# PBE-GGA Ac3GaPb3, relaxed
# Raw total energy: -119.8 eV/cell
# Formation enthalpy at 0 K: -0.4957 eV per atom
# Offset from the most stable computed form: 0.0 kJ/mol of atoms
# Magnetization: 0.00 μB/f.u.
data_Ac3GaPb3
_symmetry_space_group_name_H-M 'C 1 2/m 1'
_symmetry_Int_Tables_number 12
_cell_length_a 12.519
_cell_length_b 4.856
_cell_length_c 16.475
_cell_angle_alpha 90.00
_cell_angle_beta 106.66
_cell_angle_gamma 90.00
loop_
_symmetry_equiv_pos_as_xyz
'x,y,z'
'-x,-y,-z'
'-x,y,-z'
'x,-y,z'
'x+1/2,y+1/2,z'
'-x+1/2,-y+1/2,-z'
'-x+1/2,y+1/2,-z'
'x+1/2,-y+1/2,z'
loop_
_atom_site_label
_atom_site_type_symbol
_atom_site_fract_x
_atom_site_fract_y
_atom_site_fract_z
_atom_site_occupancy
Ac1 Ac 0.024 0.000 0.381 1
Ac2 Ac 0.100 0.000 0.922 1
Ac3 Ac 0.237 0.000 0.232 1
Ga1 Ga 0.242 0.500 0.370 1
Pb1 Pb 0.012 0.500 0.230 1
Pb2 Pb 0.126 0.500 0.078 1
Pb3 Pb 0.149 0.500 0.537 1

No. 4
# PBE-GGA Ac2GaPb, relaxed
# Raw total energy: -48.5 eV/cell
# Formation enthalpy at 0 K: -0.3053 eV per atom
# Magnetization: 0.00 μB/f.u.
data_Ac2GaPb
_symmetry_space_group_name_H-M 'R -3 m'
_symmetry_Int_Tables_number 166
_symmetry_space_group_name_Hall '-R 3 2"'
_cell_length_a 4.2177
_cell_length_b 4.2177
_cell_length_c 28.5766
_cell_angle_alpha 90.00
_cell_angle_beta 90.00
_cell_angle_gamma 120.00
loop_
_atom_site_label
_atom_site_type_symbol
_atom_site_fract_x
_atom_site_fract_y
_atom_site_fract_z
_atom_site_occupancy
Ac1 Ac 0.0000 0.0000 0.2442 1
Ga1 Ga 0.0000 0.0000 0.5000 1
Pb1 Pb 0.0000 0.0000 0.0000 1

Question: Which value of formation enthalpy at 0 K does entry 1 give?
Answer: -0.3950 eV per atom

Question: Number 2 is which compound?
Answer: Ac2GaPb

Copy entry 1 word for word.
# PBE-GGA Ac3Ga8Pb3, relaxed
# Raw total energy: -106.4 eV/cell
# Formation enthalpy at 0 K: -0.3950 eV per atom
# Magnetization: 0.00 μB/f.u.
data_Ac3Ga8Pb3
_symmetry_space_group_name_H-M 'I m m m'
_symmetry_Int_Tables_number 71
_symmetry_space_group_name_Hall '-I 2 2'
_cell_length_a 4.588
_cell_length_b 10.173
_cell_length_c 15.266
_cell_angle_alpha 90.00
_cell_angle_beta 90.00
_cell_angle_gamma 90.00
loop_
_atom_site_label
_atom_site_type_symbol
_atom_site_fract_x
_atom_site_fract_y
_atom_site_fract_z
_atom_site_occupancy
Ac1 Ac 0.000 0.000 0.000 1
Ac2 Ac 0.000 0.000 0.312 1
Ga1 Ga 0.000 0.262 0.157 1
Ga2 Ga 0.000 0.370 0.323 1
Pb1 Pb 0.000 0.238 0.500 1
Pb2 Pb 0.000 0.500 0.000 1